Entry 1:
The following is a PBE-GGA calculation of crystalline TmAgIr4 at its relaxed geometry, from the Alexandria database.

a b c (Å): 5.2727 5.2727 5.2727
angles (deg): 60.00 60.00 60.00
Closest atoms and distances in Å follow each position.
Fractional coordinates of all 6 atoms:
Ir 0.6251 0.6251 0.1246  6 Ir 2.63-2.64
Ir 0.6251 0.1246 0.6251  6 Ir 2.63-2.64
Ir 0.6251 0.6251 0.6251  6 Ir 2.63-2.64
Ir 0.1246 0.6251 0.6251  6 Ir 2.63-2.64
Tm 0.2500 0.2500 0.2500  12 Ir 3.09, 4 Ag 3.23
Ag 0.0000 0.0000 0.0000  12 Ir 3.09, 4 Tm 3.23

raw total energy: -0.2722 Ha/atom
ΔH_f (0 K): -0.279 eV/atom

***

Entry 2:
The following is a PBE-GGA calculation of crystalline TiZnSn at its relaxed geometry, from the Alexandria database.

a b c (Å): 5.1120 2.9242 7.4131
angles (deg): 90.00 93.53 90.00
Closest atoms and distances in Å follow each position.
Fractional coordinates of all 6 atoms:
Zn 0.0000 0.5000 0.0000  2 Zn 2.56
Zn 0.5000 0.5000 0.0000  2 Zn 2.56
Sn 0.7771 0.5000 0.3476  2 Zn 2.86-2.88, 3 Sn 2.92-3.11, 6 Ti 2.93-3.06
Sn 0.2229 0.5000 0.6524  2 Zn 2.86-2.88, 3 Sn 2.92-3.11, 6 Ti 2.93-3.06
Ti 0.7193 0.0000 0.7063  4 Zn 2.90-2.92, 2 Ti 2.92, 6 Sn 2.93-3.06
Ti 0.2807 0.0000 0.2937  4 Zn 2.90-2.92, 2 Ti 2.92, 6 Sn 2.93-3.06

raw total energy: -0.1669 Ha/atom
ΔH_f (0 K): -0.152 eV/atom

***

Entry 3:
The following is a PBE-GGA calculation of crystalline SbTe2WCl at its relaxed geometry, from the Alexandria database.

a b c (Å): 5.2340 5.2340 5.3702
angles (deg): 90.00 90.00 90.00
Closest atoms and distances in Å follow each position.
Fractional coordinates of all 5 atoms:
Sb 0.0000 0.0000 0.5000  2 W 2.69
Te 0.0000 0.5000 0.0000  2 W 2.62
Te 0.5000 0.0000 0.0000  2 W 2.62
W 0.0000 0.0000 0.0000  4 Te 2.62, 2 Sb 2.69
Cl 0.5000 0.5000 0.5000  4 Sb 3.70, 8 Te 3.75

raw total energy: -0.1723 Ha/atom
E_form (uncorrected): 0.35 eV per atom
excess energy over the best structure of this formula in the dataset: 0.000 eV/atom

***

Entry 4:
The following is a PBE-GGA calculation of crystalline TbEr3Ir at its relaxed geometry, from the Alexandria database.

a b c (Å): 3.7890 9.2469 8.8043
angles (deg): 104.57 102.43 90.00
Closest atoms and distances in Å follow each position.
Fractional coordinates of all 10 atoms:
Tb 0.6909 0.2992 0.3819  2 Ir 2.84
Tb 0.3091 0.7008 0.6181  2 Ir 2.84
Er 0.0018 0.1811 0.0037  2 Ir 2.84-2.87
Er 0.9982 0.8189 0.9963  2 Ir 2.84-2.87
Er 0.3196 0.1221 0.6393  3 Ir 2.78-3.01
Er 0.6804 0.8779 0.3607  3 Ir 2.78-3.01
Er 0.1003 0.5454 0.2007  5 Er 3.33-3.57, 3 Tb 3.51-3.61
Er 0.8997 0.4546 0.7993  5 Er 3.33-3.57, 3 Tb 3.51-3.61
Ir 0.8605 0.9342 0.7209  5 Er 2.78-3.01, 2 Tb 2.84
Ir 0.1395 0.0658 0.2791  5 Er 2.78-3.01, 2 Tb 2.84

raw total energy: -0.2099 Ha/atom
excess energy over the best structure of this formula in the dataset: 0.079 eV/atom
ΔH_f (0 K): -0.276 eV/atom

***

Entry 5:
The following is a PBE-GGA calculation of crystalline Nd2YMgTe5 at its relaxed geometry, from the Alexandria database.

a b c (Å): 4.3533 9.7714 13.5713
angles (deg): 90.00 90.00 102.87
Closest atoms and distances in Å follow each position.
Fractional coordinates of all 18 atoms:
Nd 0.8664 0.7327 0.8031  8 Te 3.24-3.48
Nd 0.1121 0.2242 0.6824  8 Te 3.25-3.45
Nd 0.1336 0.2673 0.3031  8 Te 3.24-3.48
Nd 0.8879 0.7758 0.1824  8 Te 3.25-3.45
Y 0.7955 0.5911 0.5119  6 Te 3.05-3.12
Y 0.2045 0.4089 0.0119  6 Te 3.05-3.12
Mg 0.5541 0.1082 0.9562  4 Te 2.68-2.95
Mg 0.4459 0.8918 0.4562  4 Te 2.68-2.95
Te 0.3642 0.7285 0.9989  1 Y 3.05, 2 Nd 3.34
Te 0.6884 0.3768 0.8484  1 Mg 2.95, 2 Y 3.12
Te 0.4958 0.9917 0.7766  1 Mg 2.68
Te 0.2827 0.5653 0.6710  2 Y 3.08, 3 Nd 3.24-3.25
Te 0.9502 0.9003 0.5756  2 Mg 2.72
Te 0.6358 0.2715 0.4989  1 Y 3.05, 2 Nd 3.34
Te 0.3116 0.6232 0.3484  1 Mg 2.95, 2 Y 3.12
Te 0.5042 0.0083 0.2766  1 Mg 2.68
Te 0.7173 0.4347 0.1710  2 Y 3.08, 3 Nd 3.24-3.25
Te 0.0498 0.0997 0.0756  2 Mg 2.72

raw total energy: -0.1818 Ha/atom
E_form (uncorrected): -1.25 eV per atom

***

Entry 6:
The following is a PBE-GGA calculation of crystalline LiMnBe2 at its relaxed geometry, from the Alexandria database.

a b c (Å): 4.0527 4.0527 4.8030
angles (deg): 86.75 86.75 31.61
Closest atoms and distances in Å follow each position.
Fractional coordinates of all 4 atoms:
Be 0.0051 0.0051 0.9501  4 Be 2.21-2.22, 3 Mn 2.26-2.36, 1 Li 2.46
Be 0.4949 0.4949 0.5499  4 Be 2.21-2.22, 3 Mn 2.26-2.36, 1 Li 2.46
Li 0.2500 0.2500 0.2500  2 Li 2.21, 2 Be 2.46
Mn 0.7500 0.7500 0.7500  2 Mn 2.21, 6 Be 2.26-2.36

raw total energy: -0.1623 Ha/atom
ΔH_f (0 K): 0.217 eV/atom

***

Q: Among the records above, which one has the highest raw total energy?
A: LiMnBe2

***

Q: Which value of raw total energy does entry 3 give?
A: -0.1723 Ha/atom

***

Q: Which of these has the highest raw total energy?
A: LiMnBe2

***

What did the second record say?
The following is a PBE-GGA calculation of crystalline TiZnSn at its relaxed geometry, from the Alexandria database.

a b c (Å): 5.1120 2.9242 7.4131
angles (deg): 90.00 93.53 90.00
Closest atoms and distances in Å follow each position.
Fractional coordinates of all 6 atoms:
Zn 0.0000 0.5000 0.0000  2 Zn 2.56
Zn 0.5000 0.5000 0.0000  2 Zn 2.56
Sn 0.7771 0.5000 0.3476  2 Zn 2.86-2.88, 3 Sn 2.92-3.11, 6 Ti 2.93-3.06
Sn 0.2229 0.5000 0.6524  2 Zn 2.86-2.88, 3 Sn 2.92-3.11, 6 Ti 2.93-3.06
Ti 0.7193 0.0000 0.7063  4 Zn 2.90-2.92, 2 Ti 2.92, 6 Sn 2.93-3.06
Ti 0.2807 0.0000 0.2937  4 Zn 2.90-2.92, 2 Ti 2.92, 6 Sn 2.93-3.06

raw total energy: -0.1669 Ha/atom
ΔH_f (0 K): -0.152 eV/atom